i) SmPaRh3 | GGA-PBE | optimized geometry

The structure belongs to space group Cm (No. 8); the cell edges are 10.1250, 5.8450 and 8.5274 Å and the angles 90.00°, 113.24° and 90.00°. The asymmetric unit holds Sm at (0.0000, 0.0000, 0.0000), Sm at (0.2425, 0.0000, 0.7265), Pa at (0.1285, 0.5000, 0.8855), Pa at (0.2919, 0.5000, 0.3752), Rh at (0.0296, 0.5000, 0.1252), Rh at (0.2157, 0.5000, 0.6382), Rh at (0.2977, 0.2314, 0.1251) and Rh at (0.4621, 0.2536, 0.6384).

The density of states at the Fermi level comes out at 10.199 states/eV/cell.

---

ii) SmPaRh3 | GGA-PBE | optimized geometry

The structure belongs to space group P2_1/m (No. 11); the cell edges are 4.1100, 5.7349 and 8.9909 Å and the angles 90.00°, 103.18° and 90.00°. The asymmetric unit holds Sm at (0.1889, 0.2500, 0.3784), Pa at (0.4166, 0.2500, 0.8337), Rh at (0.0000, 0.0000, 0.0000), Rh at (0.1878, 0.7500, 0.3730) and Rh at (0.4301, 0.7500, 0.8598).

The density of states at the Fermi level comes out at 7.408 states/eV/cell.

---

Calculated relative energies: i) 157; ii) 0, given in meV per atom

---

i) SmPaRh | GGA-PBE | optimized geometry

The structure belongs to space group P2_1/c (No. 14); the cell edges are 6.1677, 6.9479 and 7.1924 Å and the angles 90.00°, 91.76° and 90.00°. The asymmetric unit holds Sm at (0.1147, 0.1436, 0.3043), Pa at (0.3823, 0.6844, 0.4851) and Rh at (0.3857, 0.0124, 0.6701).

The density of states at the Fermi level comes out at 19.925 states/eV/cell.

---

ii) SmPaRh | GGA-PBE | optimized geometry

The structure belongs to space group I4mm (No. 107); the cell edges are 3.5869, 3.5869 and 11.1718 Å and the angles 90.00°, 90.00° and 90.00°. The asymmetric unit holds Sm at (0.0000, 0.0000, 0.0000), Pa at (0.0000, 0.0000, 0.7006) and Rh at (0.0000, 0.0000, 0.3033).

The density of states at the Fermi level comes out at 8.301 states/eV/cell.

---

Calculated relative energies: i) 0; ii) 20, given in meV per atom

---

i) PaSnRh3 | GGA-PBE | optimized geometry

The structure belongs to space group P2_1/m (No. 11); the cell edges are 5.0438, 5.3938 and 7.2760 Å and the angles 90.00°, 109.36° and 90.00°. The asymmetric unit holds Pa at (0.0909, 0.2500, 0.1735), Sn at (0.4654, 0.2500, 0.6563), Rh at (0.0202, 0.2500, 0.7735), Rh at (0.2790, 0.7500, 0.6382) and Rh at (0.5000, 0.0000, 0.0000).

The density of states at the Fermi level comes out at 5.343 states/eV/cell.

---

ii) PaSnRh3 | GGA-PBE | optimized geometry

The structure belongs to space group C2/m (No. 12); the cell edges are 11.6776, 4.6530 and 7.7006 Å and the angles 90.00°, 93.27° and 90.00°. The asymmetric unit holds Pa at (0.1157, 0.0000, 0.1815), Sn at (0.1010, 0.5000, 0.6321), Rh at (0.0997, 0.0000, 0.8215), Rh at (0.1822, 0.0000, 0.4833) and Rh at (0.1851, 0.5000, 0.9723).

The density of states at the Fermi level comes out at 11.533 states/eV/cell.

---

Calculated relative energies: i) 0; ii) 91, given in meV per atom

---

i) SrPaRh2 | GGA-PBE | optimized geometry

The structure belongs to space group R-3m (No. 166, hexagonal axes); the cell edges are 3.8683, 3.8683 and 22.7894 Å and the angles 90.00°, 90.00° and 120.00°. The asymmetric unit holds Sr at (0.0000, 0.0000, 0.0000), Pa at (0.0000, 0.0000, 0.5000) and Rh at (0.0000, 0.0000, 0.2347).

The density of states at the Fermi level comes out at 8.964 states/eV/cell.

---

ii) SrPaRh2 | GGA-PBE | optimized geometry

The structure belongs to space group P4/mmm (No. 123); the cell edges are 3.4878, 3.4878 and 7.5487 Å and the angles 90.00°, 90.00° and 90.00°. The asymmetric unit holds Sr at (0.0000, 0.0000, 0.0000), Pa at (0.0000, 0.0000, 0.5000) and Rh at (0.5000, 0.5000, 0.3076).

The density of states at the Fermi level comes out at 2.874 states/eV/cell.

---

Calculated relative energies: i) 68; ii) 0, given in meV per atom

---

i) PaTaRh | GGA-PBE | optimized geometry

The structure belongs to space group F-43m (No. 216); the cell edges are 10.1007, 10.1007 and 10.1007 Å and the angles 90.00°, 90.00° and 90.00°. The asymmetric unit holds Pa at (0.1223, 0.1223, 0.1223), Ta at (0.1533, 0.1533, 0.6533) and Rh at (0.1023, 0.1023, 0.3977).

The density of states at the Fermi level comes out at 63.096 states/eV/cell.

---

ii) PaTaRh | GGA-PBE | optimized geometry

The structure belongs to space group P3m1 (No. 156); the cell edges are 4.7352, 4.7352 and 2.9797 Å and the angles 90.00°, 90.00° and 120.00°. The asymmetric unit holds Pa at (0.0000, 0.0000, 0.0000), Ta at (0.3333, 0.6667, 0.5877) and Rh at (0.6667, 0.3333, 0.2562).

The density of states at the Fermi level comes out at 6.174 states/eV/cell.

---

iii) PaTaRh | GGA-PBE | optimized geometry

The structure belongs to space group I4mm (No. 107); the cell edges are 3.0624, 3.0624 and 12.3949 Å and the angles 90.00°, 90.00° and 90.00°. The asymmetric unit holds Pa at (0.0000, 0.0000, 0.0000), Ta at (0.0000, 0.0000, 0.6874) and Rh at (0.0000, 0.0000, 0.3167).

The density of states at the Fermi level comes out at 6.753 states/eV/cell.

---

Calculated relative energies: i) 236; ii) 313; iii) 0, given in meV per atom

---

i) PaTa2Rh | GGA-PBE | optimized geometry

The structure belongs to space group P4/mmm (No. 123); the cell edges are 3.3977, 3.3977 and 6.4848 Å and the angles 90.00°, 90.00° and 90.00°. The asymmetric unit holds Pa at (0.0000, 0.0000, 0.0000), Ta at (0.5000, 0.5000, 0.2654) and Rh at (0.0000, 0.0000, 0.5000).

The density of states at the Fermi level comes out at 4.728 states/eV/cell.

---

ii) PaTa2Rh | GGA-PBE | optimized geometry

The structure belongs to space group R-3m (No. 166, hexagonal axes); the cell edges are 2.9677, 2.9677 and 30.1108 Å and the angles 90.00°, 90.00° and 120.00°. The asymmetric unit holds Pa at (0.0000, 0.0000, 0.0000), Ta at (0.0000, 0.0000, 0.0947) and Rh at (0.0000, 0.0000, 0.5000).

The density of states at the Fermi level comes out at 15.055 states/eV/cell.

---

Calculated relative energies: i) 0; ii) 207, given in meV per atom

---

i) PaTaRh2 | GGA-PBE | optimized geometry

The structure belongs to space group P4/mmm (No. 123); the cell edges are 3.1609, 3.1609 and 7.2669 Å and the angles 90.00°, 90.00° and 90.00°. The asymmetric unit holds Pa at (0.0000, 0.0000, 0.0000), Ta at (0.0000, 0.0000, 0.5000) and Rh at (0.5000, 0.5000, 0.2887).

The density of states at the Fermi level comes out at 4.038 states/eV/cell.

---

ii) PaTaRh2 | GGA-PBE | optimized geometry

The structure belongs to space group P4/mmm (No. 123); the cell edges are 4.2638, 4.2638 and 3.9585 Å and the angles 90.00°, 90.00° and 90.00°. The asymmetric unit holds Pa at (0.0000, 0.0000, 0.0000), Ta at (0.5000, 0.5000, 0.0000) and Rh at (0.0000, 0.5000, 0.5000).

The density of states at the Fermi level comes out at 6.163 states/eV/cell.

---

iii) PaTaRh2 | GGA-PBE | optimized geometry

The structure belongs to space group R-3m (No. 166, hexagonal axes); the cell edges are 4.4149, 4.4149 and 13.7011 Å and the angles 90.00°, 90.00° and 120.00°. The asymmetric unit holds Pa at (0.0000, 0.0000, 0.0000), Ta at (0.0000, 0.0000, 0.5000) and Rh at (0.0000, 0.0000, 0.2229).

The density of states at the Fermi level comes out at 14.370 states/eV/cell.

---

Calculated relative energies: i) 0; ii) 57; iii) 50, given in meV per atom

---

i) Pa2TcRh | GGA-PBE | optimized geometry

The structure belongs to space group P-1 (No. 2); the cell edges are 3.3707, 3.4066 and 7.3166 Å and the angles 89.20°, 89.17° and 77.92°. The asymmetric unit holds Pa at (0.0037, 0.0036, 0.2514), Tc at (0.5000, 0.5000, 0.5000) and Rh at (0.5000, 0.5000, 0.0000).

The density of states at the Fermi level comes out at 5.622 states/eV/cell.

---

ii) Pa2TcRh | GGA-PBE | optimized geometry

The structure belongs to space group Fm-3m (No. 225); the cell edges are 6.8752, 6.8752 and 6.8752 Å and the angles 90.00°, 90.00° and 90.00°. The asymmetric unit holds Pa at (0.2500, 0.2500, 0.2500), Tc at (0.0000, 0.0000, 0.0000) and Rh at (0.0000, 0.0000, 0.5000).

The density of states at the Fermi level comes out at 23.848 states/eV/cell.

---

Calculated relative energies: i) 0; ii) 32, given in meV per atom

---

i) PaTeRh | GGA-PBE | optimized geometry

The structure belongs to space group P4/nmm (No. 129, origin choice 2); the cell edges are 4.0787, 4.0787 and 8.6353 Å and the angles 90.00°, 90.00° and 90.00°. The asymmetric unit holds Pa at (0.2500, 0.2500, 0.2201), Te at (0.2500, 0.2500, 0.6277) and Rh at (0.2500, 0.7500, 0.0000).

The density of states at the Fermi level comes out at 4.250 states/eV/cell.

---

ii) PaTeRh | GGA-PBE | optimized geometry

The structure belongs to space group F-43m (No. 216); the cell edges are 6.5927, 6.5927 and 6.5927 Å and the angles 90.00°, 90.00° and 90.00°. The asymmetric unit holds Pa at (0.0000, 0.0000, 0.0000), Te at (0.0000, 0.0000, 0.5000) and Rh at (0.2500, 0.2500, 0.2500).

The density of states at the Fermi level comes out at 12.745 states/eV/cell.

---

iii) PaTeRh | GGA-PBE | optimized geometry

The structure belongs to space group P2_1/c (No. 14); the cell edges are 6.6198, 6.9200 and 7.4531 Å and the angles 90.00°, 119.85° and 90.00°. The asymmetric unit holds Pa at (0.1523, 0.1793, 0.2389), Te at (0.3013, 0.6083, 0.1182) and Rh at (0.2750, 0.0227, 0.9780).

The density of states at the Fermi level comes out at 12.871 states/eV/cell.

---

Calculated relative energies: i) 0; ii) 132; iii) 140, given in meV per atom

---

i) ThPaRh2 | GGA-PBE | optimized geometry

The structure belongs to space group P2_1/m (No. 11); the cell edges are 6.0320, 4.1021 and 7.7601 Å and the angles 90.00°, 110.46° and 90.00°. The asymmetric unit holds Th at (0.2304, 0.2500, 0.1861), Pa at (0.2257, 0.2500, 0.6839), Rh at (0.2935, 0.7500, 0.4656) and Rh at (0.3015, 0.7500, 0.9400).

The density of states at the Fermi level comes out at 7.221 states/eV/cell.

---

ii) ThPaRh2 | GGA-PBE | optimized geometry

The structure belongs to space group P4/mmm (No. 123); the cell edges are 3.4708, 3.4708 and 7.2256 Å and the angles 90.00°, 90.00° and 90.00°. The asymmetric unit holds Th at (0.0000, 0.0000, 0.0000), Pa at (0.0000, 0.0000, 0.5000) and Rh at (0.5000, 0.5000, 0.2911).

The density of states at the Fermi level comes out at 3.828 states/eV/cell.

---

Calculated relative energies: i) 0; ii) 162, given in meV per atom

---

i) ThPaRh4 | GGA-PBE | optimized geometry

The structure belongs to space group Pnma (No. 62); the cell edges are 7.0219, 3.8952 and 16.9982 Å and the angles 90.00°, 90.00° and 90.00°. The asymmetric unit holds Th at (0.1758, 0.2500, 0.2132), Pa at (0.2012, 0.7500, 0.4703), Rh at (0.0424, 0.7500, 0.9368), Rh at (0.0485, 0.2500, 0.3748), Rh at (0.1476, 0.2500, 0.8198) and Rh at (0.2408, 0.2500, 0.5855).

The density of states at the Fermi level comes out at 14.833 states/eV/cell.

---

ii) ThPaRh4 | GGA-PBE | optimized geometry

The structure belongs to space group F-43m (No. 216); the cell edges are 7.5874, 7.5874 and 7.5874 Å and the angles 90.00°, 90.00° and 90.00°. The asymmetric unit holds Th at (0.0000, 0.0000, 0.0000), Pa at (0.2500, 0.2500, 0.7500) and Rh at (0.1246, 0.1246, 0.3754).

The density of states at the Fermi level comes out at 21.565 states/eV/cell.

---

Calculated relative energies: i) 14; ii) 0, given in meV per atom